[1]
Compound: ZnIn2Cu2Pd5
Source: Alexandria
Functional: PBE
Structure: relaxed

The structure in POSCAR format:
```
ZnIn2Cu2Pd5
1.0
9.2361 0.0000 0.0000
0.0000 9.2361 0.0000
0.0000 0.0000 3.8318
Zn In Cu Pd
2 4 4 10
Direct
0.0000 0.0000 0.0000 Zn
0.5000 0.5000 0.0000 Zn
0.1664 0.3336 0.0000 In
0.3336 0.8336 0.0000 In
0.6664 0.1664 0.0000 In
0.8336 0.6664 0.0000 In
0.1286 0.6286 0.0000 Cu
0.3714 0.1286 0.0000 Cu
0.6286 0.8714 0.0000 Cu
0.8714 0.3714 0.0000 Cu
0.0000 0.5000 0.5000 Pd
0.0959 0.8140 0.5000 Pd
0.1860 0.0959 0.5000 Pd
0.3140 0.5959 0.5000 Pd
0.4041 0.3140 0.5000 Pd
0.5000 0.0000 0.5000 Pd
0.5959 0.6860 0.5000 Pd
0.6860 0.4041 0.5000 Pd
0.8140 0.9041 0.5000 Pd
0.9041 0.1860 0.5000 Pd
```

## Properties
As for the space group: P4/mbm (127). For the formation energy, the calculation gives -0.28 eV/atom.

[2]
Compound: Pa2TaPdN6
Source: Alexandria
Functional: PBE
Structure: relaxed

The structure in POSCAR format:
```
Pa2TaPdN6
1.0
5.4389 0.0000 0.0000
0.0000 5.4389 0.0000
0.0000 0.0000 4.8073
Pa Ta Pd N
2 1 1 6
Direct
0.0000 0.5000 0.0000 Pa
0.5000 0.0000 0.0000 Pa
0.0000 0.0000 0.5845 Ta
0.5000 0.5000 0.6663 Pd
0.0000 0.0000 0.1911 N
0.2418 0.2418 0.7491 N
0.2418 0.7582 0.7491 N
0.5000 0.5000 0.1797 N
0.7582 0.2418 0.7491 N
0.7582 0.7582 0.7491 N
```

## Properties
As for the space group: P4mm (99). For the formation energy without anion corrections, the calculation gives -0.6681 eV/atom.

[3]
Compound: Ba3Mo3N5
Source: Alexandria
Functional: PBE
Structure: relaxed

The structure in POSCAR format:
```
Ba3Mo3N5
1.0
6.2105 0.0000 0.0000
-0.6289 7.5529 0.0000
-1.8936 -2.8927 8.6288
Ba Mo N
6 6 10
Direct
0.1457 0.1595 0.2131 Ba
0.1483 0.3642 0.8818 Ba
0.3192 0.9252 0.6137 Ba
0.6808 0.0748 0.3863 Ba
0.8517 0.6358 0.1182 Ba
0.8543 0.8405 0.7869 Ba
0.1931 0.4578 0.5717 Mo
0.3920 0.6000 0.2977 Mo
0.4159 0.8173 0.9713 Mo
0.5841 0.1827 0.0287 Mo
0.6080 0.4000 0.7023 Mo
0.8069 0.5422 0.4283 Mo
0.1217 0.5580 0.3823 N
0.2760 0.0352 0.9329 N
0.3480 0.7094 0.1305 N
0.3577 0.2417 0.5256 N
0.4175 0.6176 0.7762 N
0.5825 0.3824 0.2238 N
0.6423 0.7583 0.4744 N
0.6520 0.2906 0.8695 N
0.7240 0.9648 0.0671 N
0.8783 0.4420 0.6177 N
```

## Properties
As for the space group: P-1 (2). For the formation energy without anion corrections, the calculation gives -0.4810 eV/atom.

[4]
Compound: TaIn2Ir
Source: Alexandria
Functional: PBE
Structure: relaxed

The structure in POSCAR format:
```
TaIn2Ir
1.0
3.1243 0.0000 0.0000
0.0000 3.0079 0.0000
0.0000 0.0000 17.0799
Ta In Ir
2 4 2
Direct
0.0000 0.0000 0.0000 Ta
0.0000 0.5000 0.5000 Ta
0.0000 0.0000 0.2100 In
0.0000 0.5000 0.7100 In
0.5000 0.0000 0.3717 In
0.5000 0.5000 0.8717 In
0.5000 0.0000 0.5926 Ir
0.5000 0.5000 0.0926 Ir
```

## Properties
As for the space group: Amm2 (38). For the formation energy, the calculation gives -0.13 eV/atom.

Number 1: total moment 0.00 μB/cell. Number 2: total moment 0.00 μB/cell. Number 3: total moment 0.00 μB/cell. Number 4: total moment 0.00 μB/cell.